The following is a PBE calculation of a relaxed structure of TlSi4Se, from Alexandria via LeMat-Bulk.

Unit cell a=7.6829 b=7.6829 c=7.6829 alpha=90.00 beta=90.00 gamma=90.00
Space group F-43m (No. 216)
Inequivalent atoms, fractional coordinates:
Tl (0.0000, 0.0000, 0.0000) (multiplicity 4)
Si (0.1248, 0.1248, 0.3752) (multiplicity 16)
Se (0.2500, 0.2500, 0.7500) (multiplicity 4)

Calculated values
For the total magnetization, the calculation gives 0.000 Bohr magnetons per cell. Its formation energy (no corrections) is 0.566 eV per atom. The value obtained for the volume is 453.5 Å³ per cell. For the density of states at the Fermi level, the calculation gives 10.58 states/eV/cell.